# Li2InAs

A geometry-optimized Li2InAs structure (PBE, the Alexandria database).

Values from the calculation:
As for the energy relative to the elements: -0.333 eV per atom.

Structure (CIF):
```
data_Li2InAs
_chemical_formula_sum 'Li2 In1 As1'
_cell_length_a 3.1567
_cell_length_b 4.7794
_cell_length_c 4.8437
_cell_angle_alpha 90.00
_cell_angle_beta 90.00
_cell_angle_gamma 90.00
_symmetry_space_group_name_H-M 'P m m 2'
_symmetry_Int_Tables_number 25
loop_
_symmetry_equiv_pos_as_xyz
'x,y,z'
'-x,-y,z'
'-x,y,z'
'x,-y,z'
loop_
_atom_site_label
_atom_site_type_symbol
_atom_site_fract_x
_atom_site_fract_y
_atom_site_fract_z
_atom_site_occupancy
Li1 Li 0.0000 0.0000 0.0000 1
Li2 Li 0.0000 0.5000 0.3746 1
In1 In 0.5000 0.0000 0.4975 1
As1 As 0.5000 0.5000 0.8850 1
```

=====

# LiTa2P

A geometry-optimized LiTa2P structure (PBE, the Alexandria database).

Values from the calculation:
As for the energy relative to the elements: -0.101 eV per atom.

Structure (CIF):
```
data_LiTa2P
_chemical_formula_sum 'Li1 Ta2 P1'
_cell_length_a 3.3887
_cell_length_b 3.3887
_cell_length_c 5.4757
_cell_angle_alpha 90.00
_cell_angle_beta 90.00
_cell_angle_gamma 90.00
_symmetry_space_group_name_H-M 'P 4 m m'
_symmetry_Int_Tables_number 99
loop_
_symmetry_equiv_pos_as_xyz
'x,y,z'
'-y,x,z'
'-x,-y,z'
'y,-x,z'
'-x,y,z'
'y,x,z'
'x,-y,z'
'-y,-x,z'
loop_
_atom_site_label
_atom_site_type_symbol
_atom_site_fract_x
_atom_site_fract_y
_atom_site_fract_z
_atom_site_occupancy
Li1 Li 0.0000 0.0000 0.0000 1
Ta1 Ta 0.0000 0.0000 0.4774 1
Ta2 Ta 0.5000 0.5000 0.7354 1
P1 P 0.5000 0.5000 0.2299 1
```

=====

# In2GaTe2

A geometry-optimized In2GaTe2 structure (PBE, the Alexandria database).

Values from the calculation:
The energy relative to the elements, uncorrected comes out at -36 kJ/mol of formula units.

Structure (CIF):
```
data_In2GaTe2
_chemical_formula_sum 'In4 Ga2 Te4'
_cell_length_a 8.5160
_cell_length_b 8.5160
_cell_length_c 4.1301
_cell_angle_alpha 90.00
_cell_angle_beta 90.00
_cell_angle_gamma 90.00
_symmetry_space_group_name_H-M 'P 4/m b m'
_symmetry_Int_Tables_number 127
_symmetry_space_group_name_Hall '-P 4 2ab'
loop_
_atom_site_label
_atom_site_type_symbol
_atom_site_fract_x
_atom_site_fract_y
_atom_site_fract_z
_atom_site_occupancy
In1 In 0.1449 0.3551 0.0000 1
Ga1 Ga 0.0000 0.0000 0.5000 1
Te1 Te 0.1595 0.6595 0.5000 1
```

=====

# Cd2In2Pt

A geometry-optimized Cd2In2Pt structure (PBE, the Alexandria database).

Values from the calculation:
As for the energy relative to the elements: 0.005 eV per atom.

Structure (CIF):
```
data_Cd2In2Pt
_chemical_formula_sum 'Cd4 In4 Pt2'
_cell_length_a 7.1186
_cell_length_b 7.1186
_cell_length_c 4.6196
_cell_angle_alpha 90.00
_cell_angle_beta 90.00
_cell_angle_gamma 90.00
_symmetry_space_group_name_H-M 'P 4/m b m'
_symmetry_Int_Tables_number 127
_symmetry_space_group_name_Hall '-P 4 2ab'
loop_
_atom_site_label
_atom_site_type_symbol
_atom_site_fract_x
_atom_site_fract_y
_atom_site_fract_z
_atom_site_occupancy
Cd1 Cd 0.1577 0.3423 0.0000 1
In1 In 0.1532 0.6532 0.5000 1
Pt1 Pt 0.0000 0.0000 0.5000 1
```

=====

# BaTc2Ag

A geometry-optimized BaTc2Ag structure (PBE, the Alexandria database).

Values from the calculation:
As for the energy relative to the elements: 1.422 eV per atom.

Structure (CIF):
```
data_BaTc2Ag
_chemical_formula_sum 'Ba1 Tc2 Ag1'
_cell_length_a 5.0856
_cell_length_b 5.0856
_cell_length_c 3.2611
_cell_angle_alpha 90.00
_cell_angle_beta 90.00
_cell_angle_gamma 90.00
_symmetry_space_group_name_H-M 'P 4/m m m'
_symmetry_Int_Tables_number 123
_symmetry_space_group_name_Hall '-P 4 2'
loop_
_atom_site_label
_atom_site_type_symbol
_atom_site_fract_x
_atom_site_fract_y
_atom_site_fract_z
_atom_site_occupancy
Ba1 Ba 0.0000 0.0000 0.0000 1
Tc1 Tc 0.0000 0.5000 0.5000 1
Ag1 Ag 0.5000 0.5000 0.0000 1
```

=====

# KMg4Mo

A geometry-optimized KMg4Mo structure (PBE, the Alexandria database).

Values from the calculation:
As for the energy relative to the elements: 0.652 eV per atom.

Structure (CIF):
```
data_KMg4Mo
_chemical_formula_sum 'K4 Mg16 Mo4'
_cell_length_a 8.5042
_cell_length_b 8.5042
_cell_length_c 8.5042
_cell_angle_alpha 90.00
_cell_angle_beta 90.00
_cell_angle_gamma 90.00
_symmetry_space_group_name_H-M 'F -4 3 m'
_symmetry_Int_Tables_number 216
_symmetry_space_group_name_Hall 'F -4 2 3'
loop_
_atom_site_label
_atom_site_type_symbol
_atom_site_fract_x
_atom_site_fract_y
_atom_site_fract_z
_atom_site_occupancy
K1 K 0.0000 0.0000 0.0000 1
Mg1 Mg 0.1236 0.1236 0.6236 1
Mo1 Mo 0.2500 0.2500 0.2500 1
```

=====

# NaSmSb2

A geometry-optimized NaSmSb2 structure (PBE, the Alexandria database).

Values from the calculation:
The energy relative to the elements, uncorrected comes out at -202 kJ/mol of formula units.

Structure (CIF):
```
data_NaSmSb2
_chemical_formula_sum 'Na3 Sm3 Sb6'
_cell_length_a 5.4308
_cell_length_b 5.4308
_cell_length_c 13.2244
_cell_angle_alpha 90.00
_cell_angle_beta 90.00
_cell_angle_gamma 120.00
_symmetry_space_group_name_H-M 'R -3 m'
_symmetry_Int_Tables_number 166
_symmetry_space_group_name_Hall '-R 3 2"'
loop_
_atom_site_label
_atom_site_type_symbol
_atom_site_fract_x
_atom_site_fract_y
_atom_site_fract_z
_atom_site_occupancy
Na1 Na 0.0000 0.0000 0.0000 1
Sm1 Sm 0.0000 0.0000 0.5000 1
Sb1 Sb 0.0000 0.0000 0.2498 1
```

=====

# Pb2SeCl

A geometry-optimized Pb2SeCl structure (PBE, the Alexandria database).

Values from the calculation:
The energy relative to the elements, uncorrected comes out at -195 kJ/mol of formula units.

Structure (CIF):
```
data_Pb2SeCl
_chemical_formula_sum 'Pb2 Se1 Cl1'
_cell_length_a 3.7551
_cell_length_b 3.7566
_cell_length_c 7.6312
_cell_angle_alpha 90.00
_cell_angle_beta 90.78
_cell_angle_gamma 90.00
_symmetry_space_group_name_H-M 'P 1 2/m 1'
_symmetry_Int_Tables_number 10
loop_
_symmetry_equiv_pos_as_xyz
'x,y,z'
'-x,-y,-z'
'-x,y,-z'
'x,-y,z'
loop_
_atom_site_label
_atom_site_type_symbol
_atom_site_fract_x
_atom_site_fract_y
_atom_site_fract_z
_atom_site_occupancy
Pb1 Pb 0.0083 0.0000 0.2301 1
Se1 Se 0.5000 0.5000 0.0000 1
Cl1 Cl 0.5000 0.5000 0.5000 1
```

=====

# Pr2Ho3Cd

A geometry-optimized Pr2Ho3Cd structure (PBE, the Alexandria database).

Values from the calculation:
As for the energy relative to the elements: 0.141 eV per atom.

Structure (CIF):
```
data_Pr2Ho3Cd
_chemical_formula_sum 'Pr4 Ho6 Cd2'
_cell_length_a 3.4231
_cell_length_b 17.3965
_cell_length_c 6.5801
_cell_angle_alpha 90.00
_cell_angle_beta 90.00
_cell_angle_gamma 90.00
_symmetry_space_group_name_H-M 'I m m 2'
_symmetry_Int_Tables_number 44
loop_
_symmetry_equiv_pos_as_xyz
'x,y,z'
'-x,-y,z'
'-x,y,z'
'x,-y,z'
'x+1/2,y+1/2,z+1/2'
'-x+1/2,-y+1/2,z+1/2'
'-x+1/2,y+1/2,z+1/2'
'x+1/2,-y+1/2,z+1/2'
loop_
_atom_site_label
_atom_site_type_symbol
_atom_site_fract_x
_atom_site_fract_y
_atom_site_fract_z
_atom_site_occupancy
Pr1 Pr 0.0000 0.1918 0.0000 1
Ho1 Ho 0.0000 0.1302 0.4938 1
Ho2 Ho 0.0000 0.5000 0.6856 1
Cd1 Cd 0.0000 0.0000 0.7940 1
```

=====

# SiAg2Rh

A geometry-optimized SiAg2Rh structure (PBE, the Alexandria database).

Values from the calculation:
The energy relative to the elements, uncorrected comes out at 21 kJ/mol of formula units.

Structure (CIF):
```
data_SiAg2Rh
_chemical_formula_sum 'Si1 Ag2 Rh1'
_cell_length_a 2.9571
_cell_length_b 4.3686
_cell_length_c 4.8762
_cell_angle_alpha 90.00
_cell_angle_beta 90.00
_cell_angle_gamma 90.00
_symmetry_space_group_name_H-M 'P m m m'
_symmetry_Int_Tables_number 47
loop_
_symmetry_equiv_pos_as_xyz
'x,y,z'
'-x,-y,-z'
'-x,-y,z'
'x,y,-z'
'x,-y,-z'
'-x,y,z'
'-x,y,-z'
'x,-y,z'
loop_
_atom_site_label
_atom_site_type_symbol
_atom_site_fract_x
_atom_site_fract_y
_atom_site_fract_z
_atom_site_occupancy
Si1 Si 0.0000 0.0000 0.0000 1
Ag1 Ag 0.0000 0.5000 0.5000 1
Ag2 Ag 0.5000 0.0000 0.5000 1
Rh1 Rh 0.5000 0.5000 0.0000 1
```